# 1
This record from Alexandria via LeMat-Bulk describes an optimized crystal structure of MgRhBr. The functional is GGA-PBE.

space group = No. 62
excess energy over the best structure of this formula in the dataset = 0.425 eV/atom

Lattice parameters (Å, degrees): 7.647 3.351 8.885 90.00 90.00 90.00
Atoms (fractional coordinates):
Mg 0.454 0.250 0.663
Mg 0.046 0.750 0.163
Mg 0.546 0.750 0.337
Mg 0.954 0.250 0.837
Br 0.335 0.250 0.093
Br 0.665 0.750 0.907
Br 0.835 0.250 0.407
Br 0.165 0.750 0.593
Rh 0.232 0.750 0.868
Rh 0.732 0.750 0.632
Rh 0.768 0.250 0.132
Rh 0.268 0.250 0.368



# 2
This record from Alexandria via LeMat-Bulk describes an optimized crystal structure of NaY2CdC. The functional is GGA-PBE.

space group = No. 123
excess energy over the best structure of this formula in the dataset = 0.000 eV/atom

Lattice parameters (Å, degrees): 4.863 4.863 5.102 90.00 90.00 90.00
Atoms (fractional coordinates):
Y 0.500 0.000 0.000
Y 0.000 0.500 0.000
Na 0.000 0.000 0.500
C 0.000 0.000 0.000
Cd 0.500 0.500 0.500



# 3
This record from Alexandria via LeMat-Bulk describes an optimized crystal structure of Nd3ErPt2. The functional is GGA-PBE.

space group = No. 71

Lattice parameters (Å, degrees): 8.149 8.149 8.149 146.69 146.11 48.26
Atoms (fractional coordinates):
Nd 0.687 0.187 0.500
Nd 0.500 0.500 0.000
Nd 0.313 0.813 0.500
Pt 0.875 0.375 0.500
Pt 0.125 0.625 0.500
Er 0.000 0.000 0.000



For each record above, in turn, the calculated calculated volume values are 19.0, 24.1, 27.5 Å³ per atom.
For each record above, in turn, the calculated DFT total energy values are -3.661, -4.863, -5.909 eV per atom.